# 1
VASP calculation (PBE-GGA) on a relaxed structure of Mn2AuSe.

Lattice parameters (Å, degrees): 4.665 4.665 4.665 60.00 60.00 60.00
Each line ends with the local moment (μB).
Sites, in units of the cell vectors:
Au 0.500 0.500 0.500  0.08
Se 0.750 0.750 0.750  0.08
Mn 0.250 0.250 0.250  3.98
Mn 0.000 0.000 0.000  3.89

## Properties
Magnetic moment: 8.6 μB/f.u.
Space group: F-43m, No. 216

# 2
VASP calculation (PBE-GGA) on a relaxed structure of Tb9NdHo2.

Lattice parameters (Å, degrees): 3.514 11.271 11.271 120.00 90.00 90.00
Sites, in units of the cell vectors:
Tb 0.500 0.178 0.822
Tb 0.500 0.822 0.178
Tb 0.500 0.645 0.822
Tb 0.000 0.000 0.500
Tb 0.500 0.822 0.645
Tb 0.000 0.500 0.000
Tb 0.500 0.355 0.178
Tb 0.000 0.500 0.500
Tb 0.500 0.178 0.355
Ho 0.000 0.333 0.667
Ho 0.000 0.667 0.333
Nd 0.000 0.000 0.000

## Properties
Magnetic moment: 0.0 μB/f.u.
Space group: P6/mmm, No. 191
Offset from the most stable computed form: 0.017 eV per atom

# 3
VASP calculation (PBE-GGA) on a relaxed structure of CdGaCu2.

Lattice parameters (Å, degrees): 2.965 4.527 4.527 90.00 90.00 90.00
Sites, in units of the cell vectors:
Cu 0.000 0.500 0.000
Cu 0.000 0.000 0.500
Cd 0.500 0.000 0.000
Ga 0.500 0.500 0.500

## Properties
Magnetic moment: 0.0 μB/f.u.
Space group: P4/mmm, No. 123

# 4
VASP calculation (PBE-GGA) on a relaxed structure of Ce2NdGe6.

Lattice parameters (Å, degrees): 4.081 7.593 7.593 120.00 90.00 90.00
Each line ends with the local moment (μB).
Sites, in units of the cell vectors:
Ge 0.500 0.666 0.000  0.00
Ge 0.500 0.334 0.000  0.00
Ge 0.500 0.000 0.666  0.00
Ge 0.500 0.666 0.666  0.00
Ge 0.500 0.000 0.334  0.00
Ge 0.500 0.334 0.334  0.00
Nd 0.000 0.000 0.000  0.00
Ce 0.000 0.667 0.333  0.53
Ce 0.000 0.333 0.667  0.53

## Properties
Magnetic moment: 1.3 μB/f.u.
Space group: P6/mmm, No. 191

# 5
VASP calculation (PBE-GGA) on a relaxed structure of BiTe3Mo.

Lattice parameters (Å, degrees): 5.307 5.307 5.307 90.00 90.00 90.00
Sites, in units of the cell vectors:
Te 0.000 0.000 0.500
Te 0.000 0.500 0.000
Te 0.500 0.000 0.000
Bi 0.500 0.500 0.500
Mo 0.000 0.000 0.000

## Properties
Magnetic moment: 0.0 μB/f.u.
Space group: Pm-3m, No. 221
Offset from the most stable computed form: 0.000 eV per atom

# 6
VASP calculation (PBE-GGA) on a relaxed structure of Pm3Y4Sc.

Lattice parameters (Å, degrees): 3.481 11.634 8.847 131.11 101.35 90.00
Sites, in units of the cell vectors:
Pm 0.000 0.500 0.000
Pm 0.760 0.760 0.520
Pm 0.240 0.240 0.480
Y 0.633 0.890 0.266
Y 0.367 0.624 0.734
Y 0.633 0.376 0.266
Y 0.367 0.110 0.734
Sc 0.500 0.000 0.000

## Properties
Magnetic moment: 0.0 μB/f.u.
Space group: Immm, No. 71
Offset from the most stable computed form: 0.107 eV per atom

Summary of raw total energy in eV per atom
-5.847, -4.596, -2.985, -5.495, -4.400, -5.673
(order as listed above)